# ScBeSb2Te, optimized geometry, DFT PBE
data_ScBeSb2Te
_cell_length_a 4.8909
_cell_length_b 4.8909
_cell_length_c 5.1658
_cell_angle_alpha 90.00
_cell_angle_beta 90.00
_cell_angle_gamma 90.00
_space_group_name_H-M_alt 'P 4/m m m'
_space_group_IT_number 123
_space_group_name_Hall '-P 4 2'
loop_
_atom_site_label
_atom_site_type_symbol
_atom_site_fract_x
_atom_site_fract_y
_atom_site_fract_z
Sc1 Sc 0.0000 0.0000 0.0000
Be1 Be 0.5000 0.5000 0.5000
Sb1 Sb 0.0000 0.5000 0.5000
Te1 Te 0.5000 0.5000 0.0000
# - formation energy (no corrections) (meV per atom) = 215
# - offset from the most stable computed form (eV/atom) = 0.0000

# Mg4In6Sn, optimized geometry, DFT PBE
data_Mg4In6Sn
_cell_length_a 6.1716
_cell_length_b 6.1716
_cell_length_c 15.2667
_cell_angle_alpha 90.00
_cell_angle_beta 90.00
_cell_angle_gamma 90.00
_space_group_name_H-M_alt 'I -4 2 m'
_space_group_IT_number 121
_space_group_name_Hall 'I -4 2'
loop_
_atom_site_label
_atom_site_type_symbol
_atom_site_fract_x
_atom_site_fract_y
_atom_site_fract_z
Mg1 Mg 0.1977 0.1977 0.1716
In1 In 0.0000 0.5000 0.0000
In2 In 0.1849 0.1849 0.3644
Sn1 Sn 0.0000 0.0000 0.0000
# - DFT formation energy (eV per atom) = 0.0334

# SrRhN2, optimized geometry, DFT PBE
data_SrRhN2
_cell_length_a 3.9351
_cell_length_b 3.9351
_cell_length_c 18.1447
_cell_angle_alpha 90.00
_cell_angle_beta 90.00
_cell_angle_gamma 120.00
_space_group_name_H-M_alt 'R -3 m'
_space_group_IT_number 166
_space_group_name_Hall '-R 3 2"'
loop_
_atom_site_label
_atom_site_type_symbol
_atom_site_fract_x
_atom_site_fract_y
_atom_site_fract_z
Sr1 Sr 0.0000 0.0000 0.0000
Rh1 Rh 0.0000 0.0000 0.5000
N1 N 0.0000 0.0000 0.4023
# - formation energy (no corrections) (meV per atom) = 271
# - offset from the most stable computed form (eV/atom) = 0.3332

# OsAu, optimized geometry, DFT PBE
data_OsAu
_cell_length_a 8.5403
_cell_length_b 8.5403
_cell_length_c 3.8483
_cell_angle_alpha 90.00
_cell_angle_beta 90.00
_cell_angle_gamma 90.00
_space_group_name_H-M_alt 'I 4/m m m'
_space_group_IT_number 139
_space_group_name_Hall '-I 4 2'
loop_
_atom_site_label
_atom_site_type_symbol
_atom_site_fract_x
_atom_site_fract_y
_atom_site_fract_z
Os1 Os 0.0000 0.3514 0.0000
Au1 Au 0.1618 0.1618 0.5000
# - DFT formation energy (eV per atom) = 0.6365
# - offset from the most stable computed form (eV/atom) = 0.3527

# CuHgPb3, optimized geometry, DFT PBE
data_CuHgPb3
_cell_length_a 5.3085
_cell_length_b 5.3085
_cell_length_c 5.3085
_cell_angle_alpha 90.00
_cell_angle_beta 90.00
_cell_angle_gamma 90.00
_space_group_name_H-M_alt 'P m -3 m'
_space_group_IT_number 221
_space_group_name_Hall '-P 4 2 3'
loop_
_atom_site_label
_atom_site_type_symbol
_atom_site_fract_x
_atom_site_fract_y
_atom_site_fract_z
Cu1 Cu 0.0000 0.0000 0.0000
Hg1 Hg 0.5000 0.5000 0.5000
Pb1 Pb 0.0000 0.0000 0.5000
# - DFT formation energy (eV per atom) = 0.2300
# - offset from the most stable computed form (eV/atom) = 0.0000

# NaSr2IrO5, optimized geometry, DFT PBE
data_NaSr2IrO5
_cell_length_a 3.8479
_cell_length_b 6.0941
_cell_length_c 11.6418
_cell_angle_alpha 90.00
_cell_angle_beta 90.00
_cell_angle_gamma 90.00
_space_group_name_H-M_alt 'I m m m'
_space_group_IT_number 71
_space_group_name_Hall '-I 2 2'
loop_
_atom_site_label
_atom_site_type_symbol
_atom_site_fract_x
_atom_site_fract_y
_atom_site_fract_z
Na1 Na 0.0000 0.0000 0.0000
Sr1 Sr 0.0000 0.5000 0.2208
Ir1 Ir 0.0000 0.0000 0.5000
O1 O 0.0000 0.2262 0.3730
O2 O 0.0000 0.5000 0.0000
# - formation energy (no corrections) (meV per atom) = -1775

# Sm2HoTm2Sc2, optimized geometry, DFT PBE
data_Sm2HoTm2Sc2
_cell_length_a 11.3194
_cell_length_b 3.4099
_cell_length_c 11.4922
_cell_angle_alpha 90.00
_cell_angle_beta 108.65
_cell_angle_gamma 90.00
_space_group_name_H-M_alt 'C 1 2/m 1'
_space_group_IT_number 12
loop_
_space_group_symop_operation_xyz
'x,y,z'
'-x,-y,-z'
'-x,y,-z'
'x,-y,z'
'x+1/2,y+1/2,z'
'-x+1/2,-y+1/2,-z'
'-x+1/2,y+1/2,-z'
'x+1/2,-y+1/2,z'
loop_
_atom_site_label
_atom_site_type_symbol
_atom_site_fract_x
_atom_site_fract_y
_atom_site_fract_z
Sm1 Sm 0.1724 0.0000 0.0892
Ho1 Ho 0.0000 0.5000 0.5000
Tm1 Tm 0.0461 0.0000 0.7674
Sc1 Sc 0.2284 0.5000 0.3686
# - DFT formation energy (eV per atom) = 0.1082

# InCo2Cl, optimized geometry, DFT PBE
data_InCo2Cl
_cell_length_a 6.2696
_cell_length_b 6.2696
_cell_length_c 6.2696
_cell_angle_alpha 90.00
_cell_angle_beta 90.00
_cell_angle_gamma 90.00
_space_group_name_H-M_alt 'F m -3 m'
_space_group_IT_number 225
_space_group_name_Hall '-F 4 2 3'
loop_
_atom_site_label
_atom_site_type_symbol
_atom_site_fract_x
_atom_site_fract_y
_atom_site_fract_z
In1 In 0.0000 0.0000 0.0000
Co1 Co 0.2500 0.2500 0.2500
Cl1 Cl 0.0000 0.0000 0.5000
# - formation energy (no corrections) (meV per atom) = 664
# - offset from the most stable computed form (eV/atom) = 0.5137

In states/eV per atom, the Fermi-level density of states values for the records above are, in order, 0.9127 0.3720 0.2830 1.1817 0.6166 0.3776 1.7763 1.2360.
In eV per formula unit, the raw total energy values for the records above are, in order, -20.4 -26.4 -24.6 -13.2 -14.4 -54.3 -34.9 -16.1.
In μB per cell, the total moment values for the records above are, in order, 0.0 0.0 0.0 0.0 0.0 2.8 0.0 7.9.